[1]
A plane-wave DFT calculation with PBE-GGA was carried out for a geometry-optimized PmHo2Tm structure.

The structure in CIF format:
```
data_PmHo2Tm
_symmetry_space_group_name_H-M 'P 4/m m m'
_symmetry_Int_Tables_number 123
_symmetry_space_group_name_Hall '-P 4 2'
_cell_length_a 5.009
_cell_length_b 5.009
_cell_length_c 5.023
_cell_angle_alpha 90.00
_cell_angle_beta 90.00
_cell_angle_gamma 90.00
loop_
_atom_site_label
_atom_site_type_symbol
_atom_site_fract_x
_atom_site_fract_y
_atom_site_fract_z
Pm1 Pm 0.000 0.000 0.000
Ho1 Ho 0.000 0.500 0.500
Tm1 Tm 0.500 0.500 0.000
```

Output
E_form: 0.023 eV per atom
Excess energy over the best structure of this formula in the dataset: 0.05 eV/f.u.
E_tot: -4.571 eV/atom

[2]
A plane-wave DFT calculation with PBE-GGA was carried out for a geometry-optimized Tm3CoCu structure.

The structure in CIF format:
```
data_Tm3CoCu
_symmetry_space_group_name_H-M 'C 1 2/m 1'
_symmetry_Int_Tables_number 12
_cell_length_a 9.774
_cell_length_b 6.059
_cell_length_c 8.205
_cell_angle_alpha 90.00
_cell_angle_beta 115.65
_cell_angle_gamma 90.00
loop_
_symmetry_equiv_pos_as_xyz
'x,y,z'
'-x,-y,-z'
'-x,y,-z'
'x,-y,z'
'x+1/2,y+1/2,z'
'-x+1/2,-y+1/2,-z'
'-x+1/2,y+1/2,-z'
'x+1/2,-y+1/2,z'
loop_
_atom_site_label
_atom_site_type_symbol
_atom_site_fract_x
_atom_site_fract_y
_atom_site_fract_z
Tm1 Tm 0.014 0.000 0.231
Tm2 Tm 0.189 0.500 0.859
Tm3 Tm 0.202 0.500 0.334
Co1 Co 0.000 0.310 0.000
Cu1 Cu 0.000 0.294 0.500
```

Output
E_form: -0.195 eV per atom
Excess energy over the best structure of this formula in the dataset: 0.00 eV/f.u.
E_tot: -5.118 eV/atom